## w
CaPmBi2 | the Alexandria database | PBE-GGA | relaxed; density = 8045 kg/m3; space-group type = No. 123; DOS(E_F) = 0.668 states/eV per atom
1.0
4.2128 0.0000 0.0000
0.0000 4.2128 0.0000
0.0000 0.0000 7.0135
Ca Pm Bi
1 1 2
Direct
0.0000 0.0000 0.0000
0.0000 0.0000 0.5000
0.5000 0.5000 0.2561
0.5000 0.5000 0.7439


## x
CaPmBi2 | the Alexandria database | PBE-GGA | relaxed; density = 7990 kg/m3; space-group type = No. 123; DOS(E_F) = 0.550 states/eV per atom
1.0
5.4616 0.0000 0.0000
0.0000 5.4616 0.0000
0.0000 0.0000 4.2016
Ca Pm Bi
1 1 2
Direct
0.0000 0.0000 0.0000
0.5000 0.5000 0.0000
0.0000 0.5000 0.5000
0.5000 0.0000 0.5000


Energy comparison, zero being the most stable, in meV/atom: w 0; x 14.


## w
CaPmBi | the Alexandria database | PBE-GGA | relaxed; density = 6547 kg/m3; space-group type = No. 156; DOS(E_F) = 0.526 states/eV per atom
1.0
5.1918 0.0000 0.0000
-2.5959 4.4963 0.0000
0.0000 0.0000 4.2817
Ca Pm Bi
1 1 1
Direct
0.0000 0.0000 0.0000
0.6667 0.3333 0.4597
0.3333 0.6667 0.8249


## x
CaPmBi | the Alexandria database | PBE-GGA | relaxed; density = 6644 kg/m3; space-group type = No. 12; DOS(E_F) = 1.317 states/eV per atom
1.0
6.6758 0.0000 0.0000
0.0000 6.6763 0.0000
-0.0054 0.0000 8.8389
Ca Pm Bi
4 4 4
Direct
0.2496 0.0000 0.1514
0.2504 0.5000 0.8486
0.7504 0.0000 0.8486
0.7496 0.5000 0.1514
0.0000 0.2500 0.5000
0.0000 0.7500 0.5000
0.5000 0.2500 0.5000
0.5000 0.7500 0.5000
0.2504 0.0000 0.7786
0.2496 0.5000 0.2214
0.7496 0.0000 0.2214
0.7504 0.5000 0.7786


Energy comparison, zero being the most stable, in meV/atom: w 282; x 0.


## w
CaPmBi | the Alexandria database | PBE-GGA | relaxed; density = 7079 kg/m3; space-group type = No. 194; DOS(E_F) = 0.973 states/eV per atom
1.0
5.6468 0.0000 0.0000
-2.8234 4.8903 0.0000
0.0000 0.0000 6.6934
Ca Pm Bi
2 2 2
Direct
0.3333 0.6667 0.2500
0.6667 0.3333 0.7500
0.0000 0.0000 0.0000
0.0000 0.0000 0.5000
0.3333 0.6667 0.7500
0.6667 0.3333 0.2500


## x
CaPmBi | the Alexandria database | PBE-GGA | relaxed; density = 6099 kg/m3; space-group type = No. 216; DOS(E_F) = 1.196 states/eV per atom
1.0
7.5429 0.0000 0.0000
0.0000 7.5429 0.0000
0.0000 0.0000 7.5429
Ca Pm Bi
4 4 4
Direct
0.0000 0.0000 0.0000
0.0000 0.5000 0.5000
0.5000 0.0000 0.5000
0.5000 0.5000 0.0000
0.0000 0.0000 0.5000
0.0000 0.5000 0.0000
0.5000 0.0000 0.0000
0.5000 0.5000 0.5000
0.2500 0.2500 0.2500
0.2500 0.7500 0.7500
0.7500 0.2500 0.7500
0.7500 0.7500 0.2500


## y
CaPmBi | the Alexandria database | PBE-GGA | relaxed; density = 6664 kg/m3; space-group type = No. 62; DOS(E_F) = 0.564 states/eV per atom
1.0
6.8159 0.0000 0.0000
0.0000 4.7347 0.0000
0.0000 0.0000 12.1707
Ca Pm Bi
4 4 4
Direct
0.0447 0.2500 0.2442
0.4553 0.7500 0.7442
0.5447 0.2500 0.2558
0.9553 0.7500 0.7558
0.2093 0.2500 0.5501
0.2907 0.7500 0.0501
0.7093 0.2500 0.9499
0.7907 0.7500 0.4499
0.2086 0.2500 0.8699
0.2914 0.7500 0.3699
0.7086 0.2500 0.6301
0.7914 0.7500 0.1301


## z
CaPmBi | the Alexandria database | PBE-GGA | relaxed; density = 6764 kg/m3; space-group type = No. 107; DOS(E_F) = 0.634 states/eV per atom
1.0
4.2045 0.0000 0.0000
0.0000 4.2045 0.0000
0.0000 0.0000 10.9448
Ca Pm Bi
2 2 2
Direct
0.0000 0.0000 0.0000
0.5000 0.5000 0.5000
0.0000 0.0000 0.3059
0.5000 0.5000 0.8059
0.0000 0.0000 0.6570
0.5000 0.5000 0.1570


Energy comparison, zero being the most stable, in meV/atom: w 58; x 177; y 0; z 162.


## w
CaPr2Bi | the Alexandria database | PBE-GGA | relaxed; density = 6807 kg/m3; space-group type = No. 123; DOS(E_F) = 1.105 states/eV per atom
1.0
5.0051 0.0000 0.0000
0.0000 5.0051 0.0000
0.0000 0.0000 5.1696
Ca Pr Bi
1 2 1
Direct
0.0000 0.0000 0.0000
0.0000 0.5000 0.5000
0.5000 0.0000 0.5000
0.5000 0.5000 0.0000


## x
CaPr2Bi | the Alexandria database | PBE-GGA | relaxed; density = 6527 kg/m3; space-group type = No. 123; DOS(E_F) = 0.997 states/eV per atom
1.0
4.4021 0.0000 0.0000
0.0000 4.4021 0.0000
0.0000 0.0000 6.9691
Ca Pr Bi
1 2 1
Direct
0.0000 0.0000 0.0000
0.5000 0.5000 0.2651
0.5000 0.5000 0.7349
0.0000 0.0000 0.5000


Energy comparison, zero being the most stable, in meV/atom: w 18; x 0.


## w
Ca3Bi3Pt2 | the Alexandria database | PBE-GGA | relaxed; density = 8755 kg/m3; space-group type = No. 62; DOS(E_F) = 0.430 states/eV per atom
1.0
8.4391 0.0000 0.0000
0.0000 16.8696 0.0000
0.0000 0.0000 6.0611
Ca Bi Pt
12 12 8
Direct
0.0346 0.1138 0.1114
0.0346 0.3862 0.1114
0.1677 0.2500 0.6465
0.3323 0.7500 0.1465
0.4654 0.6138 0.6114
0.4654 0.8862 0.6114
0.5346 0.1138 0.3886
0.5346 0.3862 0.3886
0.6677 0.2500 0.8535
0.8323 0.7500 0.3535
0.9654 0.6138 0.8886
0.9654 0.8862 0.8886
0.1814 0.7500 0.6389
0.1919 0.0357 0.6175
0.1919 0.4643 0.6175
0.3081 0.5357 0.1175
0.3081 0.9643 0.1175
0.3186 0.2500 0.1389
0.6814 0.7500 0.8611
0.6919 0.0357 0.8825
0.6919 0.4643 0.8825
0.8081 0.5357 0.3825
0.8081 0.9643 0.3825
0.8186 0.2500 0.3611
0.0910 0.6205 0.3859
0.0910 0.8795 0.3859
0.4090 0.1205 0.8859
0.4090 0.3795 0.8859
0.5910 0.6205 0.1141
0.5910 0.8795 0.1141
0.9090 0.1205 0.6141
0.9090 0.3795 0.6141


## x
Ca3Bi3Pt2 | the Alexandria database | PBE-GGA | relaxed; density = 8813 kg/m3; space-group type = No. 63; DOS(E_F) = 0.437 states/eV per atom
1.0
2.3610 -5.6773 0.0000
2.3610 5.6773 0.0000
0.0000 0.0000 15.9867
Ca Bi Pt
6 6 4
Direct
0.0807 0.9193 0.6123
0.0807 0.9193 0.8877
0.3571 0.6429 0.7500
0.6429 0.3571 0.2500
0.9193 0.0807 0.1123
0.9193 0.0807 0.3877
0.3476 0.6524 0.2500
0.3666 0.6334 0.5320
0.3666 0.6334 0.9680
0.6334 0.3666 0.0320
0.6334 0.3666 0.4680
0.6524 0.3476 0.7500
0.1950 0.8050 0.1113
0.1950 0.8050 0.3887
0.8050 0.1950 0.6113
0.8050 0.1950 0.8887


Energy comparison, zero being the most stable, in meV/atom: w 22; x 0.


## w
CaBi3Pt | the Alexandria database | PBE-GGA | relaxed; density = 8559 kg/m3; space-group type = No. 221; DOS(E_F) = 1.297 states/eV per atom
1.0
5.5097 0.0000 0.0000
0.0000 5.5097 0.0000
0.0000 0.0000 5.5097
Ca Bi Pt
1 3 1
Direct
0.0000 0.0000 0.0000
0.0000 0.5000 0.5000
0.5000 0.0000 0.5000
0.5000 0.5000 0.0000
0.5000 0.5000 0.5000


## x
CaBi3Pt | the Alexandria database | PBE-GGA | relaxed; density = 7807 kg/m3; space-group type = No. 221; DOS(E_F) = 1.071 states/eV per atom
1.0
5.6813 0.0000 0.0000
0.0000 5.6813 0.0000
0.0000 0.0000 5.6813
Ca Bi Pt
1 3 1
Direct
0.0000 0.0000 0.0000
0.0000 0.0000 0.5000
0.0000 0.5000 0.0000
0.5000 0.0000 0.0000
0.5000 0.5000 0.5000


Energy comparison, zero being the most stable, in meV/atom: w 0; x 1076.